## PmAl5Ir3 (PBE-GGA)

Data for PmAl5Ir3 after structural relaxation.

Calculated values
VASP energy   -6.300 eV/atom
Energy of formation   -0.739 eV per atom
Calculated volume   323.5 Å³ per cell
Space group   Cmcm (63)
Crystal system   orthorhombic

Lattice parameters (Å, degrees): 3.848 6.891 12.707 90.00 90.00 106.21
Element x y z (fractional)
Al 0.443 0.887 0.352
Ir 0.388 0.777 0.954
Al 0.000 0.000 0.000
Ir 0.130 0.260 0.750
Al 0.443 0.887 0.148
Al 0.799 0.597 0.064
Pm 0.153 0.306 0.250
Al 0.799 0.597 0.436
Al 0.557 0.113 0.852
Ir 0.612 0.223 0.454
Al 0.557 0.113 0.648
Pm 0.847 0.694 0.750
Al 0.201 0.403 0.936
Al 0.000 0.000 0.500
Ir 0.612 0.223 0.046
Al 0.201 0.403 0.564
Ir 0.870 0.740 0.250
Ir 0.388 0.777 0.546

=====

## In2PPd6 (PBE-GGA)

Data for In2PPd6 after structural relaxation.

Calculated values
VASP energy   -5.171 eV/atom
Energy of formation   -0.499 eV per atom
Calculated volume   147.8 Å³ per cell
Space group   P-62m (189)
Crystal system   hexagonal

Lattice parameters (Å, degrees): 3.444 7.040 7.040 120.00 90.00 90.00
Element x y z (fractional)
In 0.000 0.667 0.333
Pd 0.000 0.000 0.241
Pd 0.500 0.617 0.000
Pd 0.000 0.759 0.759
P 0.500 0.000 0.000
Pd 0.500 0.000 0.617
In 0.000 0.333 0.667
Pd 0.000 0.241 0.000
Pd 0.500 0.383 0.383

=====

## SrInNi (PBE-GGA)

Data for SrInNi after structural relaxation.

Calculated values
VASP energy   -3.577 eV/atom
Energy of formation   -0.176 eV per atom
Calculated volume   78.7 Å³ per cell
Space group   P-6m2 (187)
Crystal system   hexagonal

Lattice parameters (Å, degrees): 4.524 4.524 4.441 90.00 90.00 120.00
Element x y z (fractional)
In 0.000 0.000 0.167
Sr 0.333 0.667 0.667
Ni 0.667 0.333 0.167

=====

## BiMoH3 (PBE-GGA)

Data for BiMoH3 after structural relaxation.

Calculated values
VASP energy   -3.551 eV/atom
Calculated volume   76.4 Å³ per cell
Space group   Pm-3m (221)
Crystal system   cubic

Lattice parameters (Å, degrees): 4.243 4.243 4.243 90.00 90.00 90.00
Site moments in Bohr magnetons follow the coordinates.
Element x y z (fractional)
Bi 0.000 0.000 0.000  -0.17
H 0.000 0.000 0.500  0.01
Mo 0.500 0.500 0.500  3.68
H 0.000 0.500 0.000  0.02
H 0.500 0.000 0.000  0.01

=====

## Pr6AlGa (PBE-GGA)

Data for Pr6AlGa after structural relaxation.

Calculated values
VASP energy   -4.629 eV/atom
Energy of formation   -0.198 eV per atom
Calculated volume   237.9 Å³ per cell
Space group   P4/mmm (123)
Crystal system   tetragonal

Lattice parameters (Å, degrees): 4.917 4.917 9.839 90.00 90.00 90.00
Element x y z (fractional)
Pr 0.500 0.500 0.000
Pr 0.000 0.500 0.249
Pr 0.500 0.000 0.249
Pr 0.500 0.500 0.500
Pr 0.500 0.000 0.751
Pr 0.000 0.500 0.751
Ga 0.000 0.000 0.000
Al 0.000 0.000 0.500

=====

## Cr2NiIrC (PBE-GGA)

Data for Cr2NiIrC after structural relaxation.

Calculated values
VASP energy   -8.499 eV/atom
Energy of formation   0.123 eV per atom
Calculated volume   56.6 Å³ per cell
Space group   P4/mmm (123)
Crystal system   tetragonal

Lattice parameters (Å, degrees): 3.873 3.873 3.774 90.00 90.00 90.00
Site moments in Bohr magnetons follow the coordinates.
Element x y z (fractional)
Ni 0.000 0.000 0.500  0.23
Cr 0.000 0.500 0.000  1.09
Cr 0.500 0.000 0.000  1.09
Ir 0.500 0.500 0.500  0.27
C 0.000 0.000 0.000  -0.05

=====

Among the records above, which one has the highest VASP energy?
BiMoH3